Record 1
TbDyAl2, optimized geometry, DFT GGA-PBE; formation enthalpy at 0 K = -0.40 eV/atom
1.0
3.606 0.000 0.000
0.000 3.606 0.000
0.000 0.000 7.205
Tb Dy Al
1 1 2
Cartesian
0.000 0.000 0.000
0.000 0.000 3.603
1.803 1.803 1.816
1.803 1.803 5.389

Record 2
CsYSN2, optimized geometry, DFT GGA-PBE; distance to the lowest polymorph of the same formula = 1.223 eV/atom; uncorrected formation energy = 1.38 eV/atom
1.0
4.260 0.000 0.000
0.000 4.260 0.000
0.000 0.000 6.035
Cs Y S N
1 1 1 2
Cartesian
0.000 0.000 0.000
2.130 2.130 3.017
0.000 0.000 3.017
0.000 2.130 0.000
2.130 0.000 0.000

Record 3
Tb5Pu3S8, optimized geometry, DFT GGA-PBE; uncorrected formation energy = -1.95 eV/atom
1.0
3.927 2.267 6.459
-3.927 2.267 6.459
0.000 -4.534 6.459
Tb Pu S
5 3 8
Cartesian
0.000 0.000 0.000
-1.963 -1.134 6.459
-1.963 1.134 12.918
0.000 2.267 6.459
0.000 0.000 9.688
-3.927 0.000 9.688
-1.963 1.134 3.229
1.963 1.134 3.229
0.000 0.000 4.852
0.000 -2.262 8.065
-1.959 1.131 8.065
-1.959 -1.131 11.312
1.959 1.131 8.065
1.959 -1.131 11.312
0.000 2.262 11.312
0.000 0.000 14.525

Record 4
AgTeIN2, optimized geometry, DFT GGA-PBE; distance to the lowest polymorph of the same formula = 0.000 eV/atom; uncorrected formation energy = 1.25 eV/atom
1.0
4.054 0.000 0.000
0.000 4.054 0.000
0.000 0.000 7.952
Ag Te I N
1 1 1 2
Cartesian
0.000 0.000 0.000
2.027 2.027 3.976
2.027 2.027 0.000
0.000 2.027 3.976
2.027 0.000 3.976

Record 5
Tm3Sn2, optimized geometry, DFT GGA-PBE; formation enthalpy at 0 K = -0.56 eV/atom
1.0
11.805 0.000 0.000
0.000 4.356 0.000
0.000 0.000 11.289
Tm Sn
12 8
Cartesian
0.627 1.089 1.475
1.517 3.267 6.329
2.666 1.089 8.925
3.236 3.267 3.281
4.385 1.089 0.685
5.275 3.267 7.120
6.529 1.089 4.169
7.419 3.267 10.604
8.568 1.089 8.009
9.139 3.267 2.364
10.288 1.089 4.960
11.178 3.267 9.814
0.135 3.267 3.587
2.233 3.267 11.211
3.670 1.089 5.567
5.767 1.089 9.231
6.038 3.267 2.058
8.135 3.267 5.722
9.572 1.089 0.078
11.670 1.089 7.703

Record 6
ZnFeRe2Pb, optimized geometry, DFT GGA-PBE; formation enthalpy at 0 K = 2.81 eV/atom
1.0
5.079 0.000 0.000
0.000 5.079 0.000
0.000 0.000 4.781
Zn Fe Re Pb
1 1 2 1
Cartesian
0.000 0.000 0.000
2.540 2.540 0.000
0.000 2.540 2.391
2.540 0.000 2.391
0.000 0.000 2.391

Record 7
Ce2Nd3Ge4, optimized geometry, DFT GGA-PBE; formation enthalpy at 0 K = -0.77 eV/atom
1.0
8.139 0.000 0.000
0.000 7.995 0.000
-3.060 0.000 7.288
Ce Nd Ge
4 6 8
Cartesian
1.223 1.313 1.580
-0.307 2.685 5.223
5.385 5.310 2.064
3.855 6.682 5.708
1.443 5.427 0.467
-0.087 6.565 4.111
4.069 0.000 0.000
2.539 3.997 3.644
5.165 1.430 3.177
3.635 2.568 6.821
-1.812 0.284 5.990
-0.281 3.714 2.346
1.364 4.996 6.402
2.894 6.996 2.758
2.185 0.998 4.530
3.715 2.999 0.886
5.360 4.281 4.942
6.890 7.711 1.298

Record 8
MgSc2SF, optimized geometry, DFT GGA-PBE; uncorrected formation energy = -1.08 eV/atom
1.0
4.212 0.000 0.000
0.000 4.212 0.000
0.000 0.000 5.409
Mg Sc S F
1 2 1 1
Cartesian
0.000 0.000 0.000
0.000 2.106 2.705
2.106 0.000 2.705
2.106 2.106 0.000
2.106 2.106 2.705

Record 9
NdHoTlRh, optimized geometry, DFT GGA-PBE; distance to the lowest polymorph of the same formula = 0.133 eV/atom; formation enthalpy at 0 K = -0.43 eV/atom
1.0
0.000 3.672 3.672
3.672 0.000 3.672
3.672 3.672 0.000
Nd Ho Tl Rh
1 1 1 1
Cartesian
0.000 0.000 0.000
3.672 3.672 3.672
1.836 1.836 1.836
5.508 5.508 5.508

Record 10
LaTlCl2, optimized geometry, DFT GGA-PBE; distance to the lowest polymorph of the same formula = 0.592 eV/atom; uncorrected formation energy = -0.83 eV/atom
1.0
0.000 3.809 3.809
3.809 0.000 3.809
3.809 3.809 0.000
La Tl Cl
1 1 2
Cartesian
0.000 0.000 0.000
5.714 5.714 5.714
1.905 1.905 1.905
3.809 3.809 3.809

Record 11
LaPm4HoEr2, optimized geometry, DFT GGA-PBE; formation enthalpy at 0 K = 0.02 eV/atom
1.0
6.237 0.000 0.000
0.000 3.626 0.000
-2.107 0.000 11.769
La Pm Ho Er
1 4 1 2
Cartesian
0.000 0.000 0.000
-0.016 0.000 8.794
1.030 1.813 3.003
3.100 1.813 8.765
4.146 0.000 2.975
3.118 1.813 0.000
-1.053 1.813 5.884
2.065 0.000 5.884

Record 12
InFeIr2, optimized geometry, DFT GGA-PBE; formation enthalpy at 0 K = 0.09 eV/atom
1.0
2.946 -3.525 0.000
2.946 3.525 0.000
0.000 0.000 2.993
In Fe Ir
1 1 2
Cartesian
0.000 0.000 0.000
2.946 0.000 0.000
1.473 1.762 1.496
1.473 -1.762 1.496

| no. | uncorrected energy (Ry/atom) |
| --- | --- |
| 1 | -0.3364 |
| 2 | -0.3119 |
| 3 | -0.5985 |
| 4 | -0.2638 |
| 5 | -0.3560 |
| 6 | -0.3572 |
| 7 | -0.4208 |
| 8 | -0.3774 |
| 9 | -0.3822 |
| 10 | -0.2631 |
| 11 | -0.3442 |
| 12 | -0.5247 |